{"formula": "Cs2TmBiS4", "functional": "PBE", "state": "optimized geometry", "raw_formation_energy_ev_per_atom": -1.13, "crystal_system": "orthorhombic", "lattice": [[-0.8988, -6.8318, -1.1622], [6.1892, -3.6392, -4.4023], [5.5250, -5.9932, 9.9489]], "species": ["S", "S", "S", "S", "S", "S", "S", "S", "Cs", "Cs", "Cs", "Cs", "Tm", "Tm", "Bi", "Bi"], "frac_coords": [[0.4756, 0.6921, 0.3939], [0.1305, 0.3079, 0.3939], [0.6195, 0.1921, 0.1061], [0.1884, 0.1921, 0.8939], [0.2744, 0.8079, 0.1061], [0.8323, 0.6921, 0.6061], [0.9177, 0.8079, 0.8939], [0.5616, 0.3079, 0.6061], [0.9314, 0.5000, 0.1371], [0.5686, 0.5000, 0.8629], [0.1814, 0.0000, 0.6371], [0.8186, 0.0000, 0.3629], [0.7500, 0.5000, 0.5000], [0.0000, 0.0000, 0.0000], [0.2500, 0.5000, 0.5000], [0.5000, 0.0000, 0.0000]]}

=====

{"formula": "Cs2UBiS5", "functional": "PBE", "state": "optimized geometry", "raw_formation_energy_ev_per_atom": -1.02, "crystal_system": "orthorhombic", "lattice": [[4.2817, 0.0000, 0.0000], [-2.1409, 9.0314, 0.0000], [0.0000, 0.0000, 16.3195]], "species": ["S", "S", "S", "S", "S", "S", "S", "S", "S", "S", "U", "U", "Cs", "Cs", "Cs", "Cs", "Bi", "Bi"], "frac_coords": [[0.4998, 0.9995, 0.7961], [0.6535, 0.3071, 0.4913], [0.9296, 0.8592, 0.5517], [0.3465, 0.6929, 0.9913], [0.3154, 0.6308, 0.4222], [0.6846, 0.3692, 0.9222], [0.0704, 0.1408, 0.0517], [0.7225, 0.4450, 0.1253], [0.2775, 0.5550, 0.6253], [0.5002, 0.0005, 0.2961], [0.7868, 0.5736, 0.5264], [0.2132, 0.4264, 0.0264], [0.0921, 0.1841, 0.6663], [0.8490, 0.6979, 0.8015], [0.1510, 0.3021, 0.3015], [0.9079, 0.8159, 0.1663], [0.5357, 0.0714, 0.9431], [0.4643, 0.9286, 0.4431]]}

=====

no.,E (eV/atom)
1,-4.453
2,-5.185